Entry from OQMD via LeMat-Bulk: crystalline HfMgAl2 at its relaxed geometry (PBE).

Values from the calculation:
Size of the total moment: 0.01 μB/cell
Final energy: -4.6326 eV/atom

Cell: 6.6879 6.6879 6.6879 Å, 90.00 90.00 90.00°
Space group F-43m (No. 216)
Unique sites:
Hf1 0.0000 0.0000 0.0000 [4 per cell]
Mg1 0.2500 0.2500 0.7500 [4 per cell]
Al1 0.0000 0.0000 0.5000 [4 per cell]
Al2 0.2500 0.2500 0.2500 [4 per cell]